# 1
The following is a PBE calculation of crystalline KHRhF6 at its relaxed geometry, from Alexandria via LeMat-Bulk. Values from VASP.

Computed properties:
Space group: P1 (1)
Total moment, μB/f.u.: 1.01
Uncorrected energy, eV for the cell shown: -39.72
N(E_F), states/eV/atom: 0.78

```
&SYSTEM
  ibrav = 0, nat = 9, ntyp = 4
/
ATOMIC_SPECIES
K 39.10 K.upf
H 1.01 H.upf
Rh 102.91 Rh.upf
F 19.00 F.upf
CELL_PARAMETERS angstrom
4.794 0.000 0.000
0.517 5.346 0.000
1.831 1.177 5.155
ATOMIC_POSITIONS crystal
K 0.000 0.000 0.000
H 0.081 0.329 0.381
Rh 0.505 0.525 0.512
F 0.147 0.635 0.736
F 0.264 0.249 0.468
F 0.447 0.743 0.204
F 0.568 0.282 0.805
F 0.716 0.795 0.538
F 0.896 0.393 0.284
```

***

# 2
The following is a PBE calculation of crystalline KH2RuF at its relaxed geometry, from Alexandria via LeMat-Bulk. Values from VASP.

Computed properties:
Space group: P4/mmm (123)
Total moment, μB/f.u.: 3.99
Uncorrected energy, eV for the cell shown: -14.26
N(E_F), states/eV/atom: 2.11

```
&SYSTEM
  ibrav = 0, nat = 5, ntyp = 4
/
ATOMIC_SPECIES
K 39.10 K.upf
H 1.01 H.upf
Ru 101.07 Ru.upf
F 19.00 F.upf
CELL_PARAMETERS angstrom
4.359 0.000 0.000
0.000 4.359 0.000
0.000 0.000 4.669
ATOMIC_POSITIONS crystal
K 0.000 0.000 0.000
H 0.000 0.500 0.000
H 0.500 0.000 0.000
Ru 0.500 0.500 0.500
F 0.000 0.000 0.500
```

***

# 3
The following is a PBE calculation of crystalline K2ScHF6 at its relaxed geometry, from Alexandria via LeMat-Bulk. Values from VASP.

Computed properties:
Space group: I4/mmm (139)
Total moment, μB/f.u.: 0.24
Uncorrected energy, eV for the cell shown: -53.22
N(E_F), states/eV/atom: 0.00

```
&SYSTEM
  ibrav = 0, nat = 10, ntyp = 4
/
ATOMIC_SPECIES
K 39.10 K.upf
Sc 44.96 Sc.upf
H 1.01 H.upf
F 19.00 F.upf
CELL_PARAMETERS angstrom
-3.319 3.319 3.290
3.319 -3.319 3.290
3.319 3.319 -3.290
ATOMIC_POSITIONS crystal
K 0.250 0.750 0.500
K 0.750 0.250 0.500
Sc 0.000 0.000 0.000
H 0.500 0.500 0.000
F 0.212 0.212 0.424
F 0.212 0.788 0.000
F 0.323 0.323 0.000
F 0.677 0.677 0.000
F 0.788 0.212 0.000
F 0.788 0.788 0.576
```

***

# 4
The following is a PBE calculation of crystalline KSiH2F8 at its relaxed geometry, from Alexandria via LeMat-Bulk. Values from VASP.

Computed properties:
Space group: P-1 (2)
Total moment, μB/f.u.: 1.06
Uncorrected energy, eV for the cell shown: -55.86
N(E_F), states/eV/atom: 0.09

```
&SYSTEM
  ibrav = 0, nat = 12, ntyp = 4
/
ATOMIC_SPECIES
K 39.10 K.upf
Si 28.09 Si.upf
H 1.01 H.upf
F 19.00 F.upf
CELL_PARAMETERS angstrom
4.759 0.000 0.000
-2.014 4.534 0.000
-0.783 -0.766 7.414
ATOMIC_POSITIONS crystal
K 0.000 0.000 0.000
Si 0.000 0.000 0.500
H 0.291 0.549 0.802
H 0.709 0.451 0.198
F 0.178 0.252 0.686
F 0.192 0.251 0.365
F 0.282 0.861 0.534
F 0.347 0.692 0.908
F 0.653 0.308 0.092
F 0.718 0.139 0.466
F 0.808 0.749 0.635
F 0.822 0.748 0.314
```

***

# 5
The following is a PBE calculation of crystalline K2SiH2F4 at its relaxed geometry, from Alexandria via LeMat-Bulk. Values from VASP.

Computed properties:
Space group: C2/m (12)
Total moment, μB/f.u.: 0.00
Uncorrected energy, eV for the cell shown: -41.45
N(E_F), states/eV/atom: 0.00

```
&SYSTEM
  ibrav = 0, nat = 9, ntyp = 4
/
ATOMIC_SPECIES
K 39.10 K.upf
Si 28.09 Si.upf
H 1.01 H.upf
F 19.00 F.upf
CELL_PARAMETERS angstrom
4.845 -2.829 0.000
4.845 2.829 0.000
-0.282 0.000 4.600
ATOMIC_POSITIONS crystal
K 0.156 0.156 0.214
K 0.844 0.844 0.786
Si 0.500 0.500 0.500
H 0.387 0.387 0.712
H 0.613 0.613 0.288
F 0.183 0.634 0.294
F 0.366 0.817 0.706
F 0.634 0.183 0.294
F 0.817 0.366 0.706
```

***

# 6
The following is a PBE calculation of crystalline K3SnHF8 at its relaxed geometry, from Alexandria via LeMat-Bulk. Values from VASP.

Computed properties:
Space group: C2/c (15)
Total moment, μB/f.u.: 0.24
Uncorrected energy, eV for the cell shown: -119.72
N(E_F), states/eV/atom: 0.00

```
&SYSTEM
  ibrav = 0, nat = 26, ntyp = 4
/
ATOMIC_SPECIES
K 39.10 K.upf
Sn 118.71 Sn.upf
H 1.01 H.upf
F 19.00 F.upf
CELL_PARAMETERS angstrom
4.471 -7.224 0.000
4.471 7.224 0.000
-0.530 0.000 6.937
ATOMIC_POSITIONS crystal
K 0.166 0.834 0.750
K 0.182 0.372 0.784
K 0.372 0.182 0.284
K 0.628 0.818 0.716
K 0.818 0.628 0.216
K 0.834 0.166 0.250
Sn 0.326 0.674 0.250
Sn 0.674 0.326 0.750
H 0.000 0.000 0.000
H 0.000 0.000 0.500
F 0.091 0.144 0.473
F 0.106 0.456 0.164
F 0.144 0.091 0.973
F 0.187 0.813 0.250
F 0.279 0.633 0.530
F 0.367 0.721 0.970
F 0.456 0.106 0.664
F 0.464 0.536 0.250
F 0.536 0.464 0.750
F 0.544 0.894 0.336
F 0.633 0.279 0.030
F 0.721 0.367 0.470
F 0.813 0.187 0.750
F 0.856 0.909 0.027
F 0.894 0.544 0.836
F 0.909 0.856 0.527
```

***

# 7
The following is a PBE calculation of crystalline KSnH2F8 at its relaxed geometry, from Alexandria via LeMat-Bulk. Values from VASP.

Computed properties:
Space group: P-1 (2)
Total moment, μB/f.u.: 1.00
Uncorrected energy, eV for the cell shown: -50.13

```
&SYSTEM
  ibrav = 0, nat = 12, ntyp = 4
/
ATOMIC_SPECIES
K 39.10 K.upf
Sn 118.71 Sn.upf
H 1.01 H.upf
F 19.00 F.upf
CELL_PARAMETERS angstrom
4.657 0.000 0.000
1.929 4.281 0.000
0.037 0.026 8.540
ATOMIC_POSITIONS crystal
K 0.000 0.000 0.000
Sn 0.000 0.000 0.500
H 0.499 0.499 0.681
H 0.501 0.501 0.319
F 0.244 0.244 0.500
F 0.271 0.727 0.682
F 0.273 0.730 0.318
F 0.370 0.374 0.001
F 0.630 0.626 0.999
F 0.727 0.270 0.682
F 0.729 0.273 0.318
F 0.756 0.756 0.500
```

***

# 8
The following is a PBE calculation of crystalline KSrH2F at its relaxed geometry, from Alexandria via LeMat-Bulk. Values from VASP.

Computed properties:
Space group: P4/mmm (123)
Total moment, μB/f.u.: 0.00
Uncorrected energy, eV for the cell shown: -18.07
N(E_F), states/eV/atom: 0.00

```
&SYSTEM
  ibrav = 0, nat = 5, ntyp = 4
/
ATOMIC_SPECIES
K 39.10 K.upf
Sr 87.62 Sr.upf
H 1.01 H.upf
F 19.00 F.upf
CELL_PARAMETERS angstrom
4.780 0.000 0.000
0.000 4.780 0.000
0.000 0.000 4.745
ATOMIC_POSITIONS crystal
K 0.000 0.000 0.000
Sr 0.500 0.500 0.500
H 0.000 0.500 0.500
H 0.500 0.000 0.500
F 0.500 0.500 0.000
```

***

# 9
The following is a PBE calculation of crystalline KTcH2F8 at its relaxed geometry, from Alexandria via LeMat-Bulk. Values from VASP.

Computed properties:
Space group: P-1 (2)
Total moment, μB/f.u.: 2.00
Uncorrected energy, eV for the cell shown: -58.00
N(E_F), states/eV/atom: 0.36

```
&SYSTEM
  ibrav = 0, nat = 12, ntyp = 4
/
ATOMIC_SPECIES
K 39.10 K.upf
Tc 98.00 Tc.upf
H 1.01 H.upf
F 19.00 F.upf
CELL_PARAMETERS angstrom
4.926 0.000 0.000
-1.677 4.691 0.000
-1.005 -0.853 7.625
ATOMIC_POSITIONS crystal
K 0.000 0.000 0.000
Tc 0.000 0.000 0.500
H 0.314 0.538 0.813
H 0.686 0.462 0.187
F 0.212 0.224 0.341
F 0.236 0.775 0.504
F 0.253 0.249 0.708
F 0.343 0.689 0.907
F 0.657 0.311 0.093
F 0.747 0.751 0.292
F 0.764 0.225 0.496
F 0.788 0.776 0.659
```

***

# 10
The following is a PBE calculation of crystalline KTeH2F8 at its relaxed geometry, from Alexandria via LeMat-Bulk. Values from VASP.

Computed properties:
Space group: P-1 (2)
Total moment, μB/f.u.: 0.96
Uncorrected energy, eV for the cell shown: -49.98
N(E_F), states/eV/atom: 0.24

```
&SYSTEM
  ibrav = 0, nat = 12, ntyp = 4
/
ATOMIC_SPECIES
K 39.10 K.upf
Te 127.60 Te.upf
H 1.01 H.upf
F 19.00 F.upf
CELL_PARAMETERS angstrom
4.989 0.000 0.000
-1.625 4.739 0.000
-0.938 -0.710 7.775
ATOMIC_POSITIONS crystal
K 0.000 0.000 0.000
Te 0.000 0.000 0.500
H 0.322 0.556 0.812
H 0.678 0.444 0.188
F 0.208 0.221 0.326
F 0.244 0.765 0.508
F 0.255 0.256 0.704
F 0.345 0.691 0.910
F 0.655 0.309 0.090
F 0.745 0.744 0.296
F 0.756 0.235 0.492
F 0.792 0.779 0.674
```

***

# 11
The following is a PBE calculation of crystalline K2TiHF7 at its relaxed geometry, from Alexandria via LeMat-Bulk. Values from VASP.

Computed properties:
Space group: P2_1/m (11)
Total moment, μB/f.u.: 0.00
Uncorrected energy, eV for the cell shown: -118.60
N(E_F), states/eV/atom: 0.00

```
&SYSTEM
  ibrav = 0, nat = 22, ntyp = 4
/
ATOMIC_SPECIES
K 39.10 K.upf
Ti 47.87 Ti.upf
H 1.01 H.upf
F 19.00 F.upf
CELL_PARAMETERS angstrom
6.214 0.000 0.000
0.000 6.016 0.000
-1.513 0.000 9.159
ATOMIC_POSITIONS crystal
K 0.177 0.250 0.160
K 0.242 0.750 0.494
K 0.758 0.250 0.506
K 0.823 0.750 0.840
Ti 0.302 0.250 0.713
Ti 0.698 0.750 0.287
H 0.357 0.750 0.044
H 0.643 0.250 0.956
F 0.092 0.029 0.724
F 0.092 0.471 0.724
F 0.197 0.750 0.034
F 0.219 0.250 0.508
F 0.402 0.250 0.922
F 0.489 0.528 0.308
F 0.489 0.972 0.308
F 0.511 0.028 0.692
F 0.511 0.472 0.692
F 0.598 0.750 0.078
F 0.781 0.750 0.492
F 0.803 0.250 0.966
F 0.908 0.529 0.276
F 0.908 0.971 0.276
```

***

# 12
The following is a PBE calculation of crystalline KTiHF6 at its relaxed geometry, from Alexandria via LeMat-Bulk. Values from VASP.

Computed properties:
Space group: P1 (1)
Total moment, μB/f.u.: 0.08
Uncorrected energy, eV for the cell shown: -50.01
N(E_F), states/eV/atom: 0.00

```
&SYSTEM
  ibrav = 0, nat = 9, ntyp = 4
/
ATOMIC_SPECIES
K 39.10 K.upf
Ti 47.87 Ti.upf
H 1.01 H.upf
F 19.00 F.upf
CELL_PARAMETERS angstrom
4.938 0.000 0.000
0.450 5.284 0.000
2.288 0.146 5.378
ATOMIC_POSITIONS crystal
K 0.000 0.000 0.000
Ti 0.272 0.536 0.396
H 0.672 0.765 0.560
F 0.018 0.383 0.679
F 0.142 0.420 0.174
F 0.416 0.718 0.625
F 0.458 0.793 0.170
F 0.572 0.300 0.336
F 0.903 0.815 0.495
```

***

# 13
The following is a PBE calculation of crystalline KTiH2F8 at its relaxed geometry, from Alexandria via LeMat-Bulk. Values from VASP.

Computed properties:
Space group: P-1 (2)
Total moment, μB/f.u.: 1.00
Uncorrected energy, eV for the cell shown: -58.56

```
&SYSTEM
  ibrav = 0, nat = 12, ntyp = 4
/
ATOMIC_SPECIES
K 39.10 K.upf
Ti 47.87 Ti.upf
H 1.01 H.upf
F 19.00 F.upf
CELL_PARAMETERS angstrom
4.743 0.000 0.000
2.104 4.281 0.000
0.026 0.016 8.230
ATOMIC_POSITIONS crystal
K 0.000 0.000 0.000
Ti 0.000 0.000 0.500
H 0.499 0.499 0.676
H 0.501 0.501 0.324
F 0.222 0.223 0.500
F 0.271 0.730 0.671
F 0.272 0.731 0.329
F 0.374 0.377 0.001
F 0.626 0.623 0.999
F 0.728 0.269 0.671
F 0.729 0.270 0.329
F 0.778 0.777 0.500
```

***

# 14
The following is a PBE calculation of crystalline KTl2HF4 at its relaxed geometry, from Alexandria via LeMat-Bulk. Values from VASP.

Computed properties:
Space group: Fmm2 (42)
Total moment, μB/f.u.: 0.00
Uncorrected energy, eV for the cell shown: -32.46
N(E_F), states/eV/atom: 0.00

```
&SYSTEM
  ibrav = 0, nat = 8, ntyp = 4
/
ATOMIC_SPECIES
K 39.10 K.upf
Tl 204.38 Tl.upf
H 1.01 H.upf
F 19.00 F.upf
CELL_PARAMETERS angstrom
0.000 6.177 3.970
3.623 0.000 3.970
3.623 6.177 0.000
ATOMIC_POSITIONS crystal
K 0.000 0.000 0.000
Tl 0.267 0.267 0.233
Tl 0.767 0.767 0.733
H 0.342 0.342 0.658
F 0.172 0.491 0.828
F 0.202 0.787 0.213
F 0.491 0.172 0.509
F 0.787 0.202 0.798
```

***

# 15
The following is a PBE calculation of crystalline KUH2F8 at its relaxed geometry, from Alexandria via LeMat-Bulk. Values from VASP.

Computed properties:
Space group: P-3m1 (164)
Total moment, μB/f.u.: 1.00
Uncorrected energy, eV for the cell shown: -66.88

```
&SYSTEM
  ibrav = 0, nat = 12, ntyp = 4
/
ATOMIC_SPECIES
K 39.10 K.upf
U 238.03 U.upf
H 1.01 H.upf
F 19.00 F.upf
CELL_PARAMETERS angstrom
5.713 0.000 0.000
-2.857 4.948 0.000
0.000 0.000 7.547
ATOMIC_POSITIONS crystal
K 0.000 0.000 0.000
U 0.000 0.000 0.500
H 0.333 0.667 0.204
H 0.667 0.333 0.796
F 0.164 0.327 0.674
F 0.164 0.836 0.674
F 0.327 0.164 0.326
F 0.333 0.667 0.079
F 0.667 0.333 0.921
F 0.673 0.836 0.674
F 0.836 0.164 0.326
F 0.836 0.673 0.326
```